The following is a PBE calculation of Sr3NbPt after structural relaxation, from Alexandria via LeMat-Bulk.

Size of the total moment = 0.00 μB/cell
Crystal system = cubic
Calculated volume = 175.2 Å³/f.u.
Energy above the lowest structure with this stoichiometry = 351 kJ/mol of formula units
DFT total energy = -3.158 eV/atom

Cell and atoms, written as CIF:
```
data_Sr3NbPt
_cell_length_a 5.5958
_cell_length_b 5.5958
_cell_length_c 5.5958
_cell_angle_alpha 90.00
_cell_angle_beta 90.00
_cell_angle_gamma 90.00
_symmetry_space_group_name_H-M 'P m -3 m'
_symmetry_Int_Tables_number 221
_symmetry_space_group_name_Hall '-P 4 2 3'
loop_
_atom_site_label
_atom_site_fract_x
_atom_site_fract_y
_atom_site_fract_z
Sr1 0.0000 0.0000 0.5000
Nb1 0.0000 0.0000 0.0000
Pt1 0.5000 0.5000 0.5000
```